The following is a GGA-PBEsol calculation of a relaxed structure of Tl2RuF, from Alexandria via LeMat-Bulk.

Uncorrected formation energy, eV/atom: 0.05
D(E_F), states/eV/cell: 21.6
M_tot, Bohr magnetons per cell: 0.0

The structure in POSCAR format:
```
Tl2RuF
1.0
6.544 0.000 0.000
0.000 6.544 0.000
0.000 0.000 6.544
Tl Ru F
8 4 4
Cartesian
1.636 1.636 1.636
1.636 1.636 4.908
1.636 4.908 1.636
1.636 4.908 4.908
4.908 1.636 1.636
4.908 1.636 4.908
4.908 4.908 1.636
4.908 4.908 4.908
0.000 0.000 0.000
0.000 3.272 3.272
3.272 0.000 3.272
3.272 3.272 0.000
0.000 0.000 3.272
0.000 3.272 0.000
3.272 0.000 0.000
3.272 3.272 3.272
```



The following is a GGA-PBEsol calculation of a relaxed structure of ZrTlRu2F, from Alexandria via LeMat-Bulk.

Uncorrected formation energy, eV/atom: 1.91
D(E_F), states/eV/cell: 5.8
M_tot, Bohr magnetons per cell: 2.3

The structure in POSCAR format:
```
ZrTlRu2F
1.0
4.894 0.000 0.000
0.000 4.894 0.000
0.000 0.000 5.380
Zr Tl Ru F
1 1 2 1
Cartesian
0.000 0.000 0.000
0.000 0.000 2.690
0.000 2.447 2.690
2.447 0.000 2.690
2.447 2.447 0.000
```



The following is a GGA-PBEsol calculation of a relaxed structure of Zn2RuWF, from Alexandria via LeMat-Bulk.

Uncorrected formation energy, eV/atom: 0.92
D(E_F), states/eV/cell: 4.3
M_tot, Bohr magnetons per cell: 1.8

The structure in POSCAR format:
```
Zn2RuWF
1.0
4.753 0.000 0.000
0.000 4.753 0.000
0.000 0.000 4.568
Zn Ru W F
2 1 1 1
Cartesian
0.000 2.377 0.000
2.377 0.000 0.000
0.000 0.000 0.000
0.000 0.000 2.284
2.377 2.377 2.284
```



The following is a GGA-PBEsol calculation of a relaxed structure of ZnRu2F, from Alexandria via LeMat-Bulk.

Uncorrected formation energy, eV/atom: 0.49
D(E_F), states/eV/cell: 9.4
M_tot, Bohr magnetons per cell: 14.4

The structure in POSCAR format:
```
ZnRu2F
1.0
5.905 0.000 0.000
0.000 5.905 0.000
0.000 0.000 5.905
Zn Ru F
4 8 4
Cartesian
0.000 0.000 0.000
0.000 2.953 2.953
2.953 0.000 2.953
2.953 2.953 0.000
1.476 1.476 1.476
1.476 1.476 4.429
1.476 4.429 1.476
1.476 4.429 4.429
4.429 1.476 1.476
4.429 1.476 4.429
4.429 4.429 1.476
4.429 4.429 4.429
0.000 0.000 2.953
0.000 2.953 0.000
2.953 0.000 0.000
2.953 2.953 2.953
```



The following is a GGA-PBEsol calculation of a relaxed structure of ZnRuF2, from Alexandria via LeMat-Bulk.

Uncorrected formation energy, eV/atom: -0.31
D(E_F), states/eV/cell: 6.6
M_tot, Bohr magnetons per cell: 10.9

The structure in POSCAR format:
```
ZnRuF2
1.0
5.767 0.000 0.000
0.000 5.767 0.000
0.000 0.000 5.767
Zn Ru F
4 4 8
Cartesian
0.000 0.000 0.000
0.000 2.884 2.884
2.884 0.000 2.884
2.884 2.884 0.000
0.000 0.000 2.884
0.000 2.884 0.000
2.884 0.000 0.000
2.884 2.884 2.884
1.442 1.442 1.442
1.442 1.442 4.325
1.442 4.325 1.442
1.442 4.325 4.325
4.325 1.442 1.442
4.325 1.442 4.325
4.325 4.325 1.442
4.325 4.325 4.325
```



The following is a GGA-PBEsol calculation of a relaxed structure of ZrRu2F, from Alexandria via LeMat-Bulk.

Uncorrected formation energy, eV/atom: 0.16
D(E_F), states/eV/cell: 22.0
M_tot, Bohr magnetons per cell: 0.0

The structure in POSCAR format:
```
ZrRu2F
1.0
6.133 0.000 0.000
0.000 6.133 0.000
0.000 0.000 6.133
Zr Ru F
4 8 4
Cartesian
0.000 0.000 0.000
0.000 3.066 3.066
3.066 0.000 3.066
3.066 3.066 0.000
1.533 1.533 1.533
1.533 1.533 4.600
1.533 4.600 1.533
1.533 4.600 4.600
4.600 1.533 1.533
4.600 1.533 4.600
4.600 4.600 1.533
4.600 4.600 4.600
0.000 0.000 3.066
0.000 3.066 0.000
3.066 0.000 0.000
3.066 3.066 3.066
```



The following is a GGA-PBEsol calculation of a relaxed structure of SbSF2, from Alexandria via LeMat-Bulk.

Uncorrected formation energy, eV/atom: -1.02
D(E_F), states/eV/cell: 4.5
M_tot, Bohr magnetons per cell: 3.8

The structure in POSCAR format:
```
SbSF2
1.0
3.978 0.000 0.000
0.000 3.978 0.000
0.000 0.000 15.763
Sb S F
4 4 8
Cartesian
0.000 0.000 0.000
0.000 1.989 3.941
1.989 0.000 11.822
1.989 1.989 7.882
0.000 0.000 7.882
0.000 1.989 11.822
1.989 0.000 3.941
1.989 1.989 0.000
0.720 0.995 1.970
0.995 2.709 5.911
0.995 3.259 13.793
1.269 0.995 9.852
2.709 2.984 9.852
2.984 0.720 13.793
2.984 1.269 5.911
3.259 2.984 1.970
```



The following is a GGA-PBEsol calculation of a relaxed structure of Sc3SF, from Alexandria via LeMat-Bulk.

Uncorrected formation energy, eV/atom: -0.96
D(E_F), states/eV/cell: 6.0
M_tot, Bohr magnetons per cell: 0.0

The structure in POSCAR format:
```
Sc3SF
1.0
4.305 0.000 0.000
0.000 4.305 0.000
0.000 0.000 4.305
Sc S F
3 1 1
Cartesian
0.000 0.000 2.152
0.000 2.152 0.000
2.152 0.000 0.000
2.152 2.152 2.152
0.000 0.000 0.000
```



The following is a GGA-PBEsol calculation of a relaxed structure of ScSF2, from Alexandria via LeMat-Bulk.

Uncorrected formation energy, eV/atom: -1.84
D(E_F), states/eV/cell: 16.5
M_tot, Bohr magnetons per cell: 1.1

The structure in POSCAR format:
```
ScSF2
1.0
5.818 0.000 0.000
0.000 5.818 0.000
0.000 0.000 5.818
Sc S F
4 4 8
Cartesian
0.000 0.000 0.000
0.000 2.909 2.909
2.909 0.000 2.909
2.909 2.909 0.000
0.000 0.000 2.909
0.000 2.909 0.000
2.909 0.000 0.000
2.909 2.909 2.909
1.454 1.454 1.454
1.454 1.454 4.363
1.454 4.363 1.454
1.454 4.363 4.363
4.363 1.454 1.454
4.363 1.454 4.363
4.363 4.363 1.454
4.363 4.363 4.363
```



The following is a GGA-PBEsol calculation of a relaxed structure of Se3SF, from Alexandria via LeMat-Bulk.

Uncorrected formation energy, eV/atom: 0.52
D(E_F), states/eV/cell: 5.9
M_tot, Bohr magnetons per cell: 0.0

The structure in POSCAR format:
```
Se3SF
1.0
4.733 0.000 0.000
0.000 4.733 0.000
0.000 0.000 4.733
Se S F
3 1 1
Cartesian
0.000 0.000 2.366
0.000 2.366 0.000
2.366 0.000 0.000
0.000 0.000 0.000
2.366 2.366 2.366
```



The following is a GGA-PBEsol calculation of a relaxed structure of SiSF2, from Alexandria via LeMat-Bulk.

Uncorrected formation energy, eV/atom: -1.23
D(E_F), states/eV/cell: 4.3
M_tot, Bohr magnetons per cell: 0.0

The structure in POSCAR format:
```
SiSF2
1.0
2.618 0.000 0.000
-1.309 2.267 0.000
0.000 0.000 28.729
Si S F
3 3 6
Cartesian
0.000 0.000 0.000
0.000 1.511 19.153
1.309 0.756 9.576
0.000 0.000 14.364
0.000 1.511 4.788
1.309 0.756 23.941
0.000 0.000 1.626
0.000 0.000 27.103
0.000 1.511 17.527
0.000 1.511 20.778
1.309 0.756 7.951
1.309 0.756 11.202
```



The following is a GGA-PBEsol calculation of a relaxed structure of SmSF, from Alexandria via LeMat-Bulk.

Uncorrected formation energy, eV/atom: -3.08
M_tot, Bohr magnetons per cell: 0.0

The structure in POSCAR format:
```
SmSF
1.0
3.831 0.000 0.000
0.000 3.831 0.000
0.000 0.000 6.832
Sm S F
2 2 2
Cartesian
0.958 0.958 1.556
2.874 2.874 5.276
0.958 0.958 4.406
2.874 2.874 2.426
0.958 2.874 0.000
2.874 0.958 0.000
```



The following is a GGA-PBEsol calculation of a relaxed structure of Sn4SF6, from Alexandria via LeMat-Bulk.

Uncorrected formation energy, eV/atom: -1.88
D(E_F), states/eV/cell: 0.0
M_tot, Bohr magnetons per cell: 0.0
E above lowest polymorph, meV per atom: 2

The structure in POSCAR format:
```
Sn4SF6
1.0
4.221 -6.019 0.000
4.221 6.019 0.000
0.000 0.000 8.729
Sn S F
8 2 12
Cartesian
4.221 4.285 4.365
2.316 0.992 5.252
4.221 2.065 0.734
2.316 -0.992 0.887
6.125 0.992 5.252
4.221 -2.065 5.098
6.125 -0.992 0.887
4.221 -4.285 0.000
4.221 1.955 3.301
4.221 -1.955 7.666
2.079 2.879 1.006
1.512 1.101 7.279
4.221 4.187 0.395
1.512 -1.101 2.915
4.221 1.405 6.304
2.079 -2.879 5.371
6.362 2.879 1.006
4.221 -1.405 1.940
6.930 1.101 7.279
4.221 -4.187 4.759
6.930 -1.101 2.915
6.362 -2.879 5.371
```



The following is a GGA-PBEsol calculation of a relaxed structure of Sn4SF6, from Alexandria via LeMat-Bulk.

Uncorrected formation energy, eV/atom: -1.88
D(E_F), states/eV/cell: 0.0
M_tot, Bohr magnetons per cell: 0.0
E above lowest polymorph, meV per atom: 0

The structure in POSCAR format:
```
Sn4SF6
1.0
4.298 2.482 3.171
-4.298 2.482 3.171
0.000 -4.963 3.171
Sn S F
4 1 6
Cartesian
0.000 0.000 0.000
-2.199 1.196 6.179
0.063 -2.502 6.179
2.135 1.306 6.179
0.000 0.000 5.318
-3.214 -1.168 4.966
-1.122 -2.795 3.901
-1.860 2.369 3.901
2.619 -2.199 4.966
2.982 0.426 3.901
0.595 3.367 4.966
```



The following is a GGA-PBEsol calculation of a relaxed structure of Sr2SnS3F2, from Alexandria via LeMat-Bulk.

Uncorrected formation energy, eV/atom: -2.21
D(E_F), states/eV/cell: 0.0
M_tot, Bohr magnetons per cell: 0.0

The structure in POSCAR format:
```
Sr2SnS3F2
1.0
5.898 0.000 0.000
0.000 18.783 0.000
0.000 0.000 5.890
Sr Sn S F
8 4 12 8
Cartesian
1.453 1.389 0.018
1.453 8.003 0.018
1.496 10.780 2.963
1.496 17.394 2.963
4.403 1.389 2.927
4.403 8.003 2.927
4.445 10.780 5.871
4.445 17.394 5.871
0.905 14.087 5.464
2.044 4.696 2.519
3.854 14.087 3.371
4.994 4.696 0.426
1.423 14.087 3.042
1.429 2.481 3.020
1.429 6.911 3.020
1.520 11.872 0.075
1.520 16.302 0.075
1.526 4.696 0.097
4.372 14.087 5.792
4.378 2.481 5.815
4.378 6.911 5.815
4.469 11.872 2.870
4.469 16.302 2.870
4.475 4.696 2.848
0.006 0.010 4.401
0.006 9.381 4.401
2.944 9.402 1.456
2.944 18.773 1.456
2.955 0.010 4.434
2.955 9.381 4.434
5.893 9.402 1.489
5.893 18.773 1.489
```



The following is a GGA-PBEsol calculation of a relaxed structure of Sr2YSF, from Alexandria via LeMat-Bulk.

Uncorrected formation energy, eV/atom: -0.94
D(E_F), states/eV/cell: 5.8
M_tot, Bohr magnetons per cell: 0.0

The structure in POSCAR format:
```
Sr2YSF
1.0
5.853 0.000 0.000
0.000 5.853 0.000
0.000 0.000 5.018
Sr Y S F
2 1 1 1
Cartesian
0.000 2.927 0.000
2.927 0.000 0.000
0.000 0.000 2.509
0.000 0.000 0.000
2.927 2.927 2.509
```



The following is a GGA-PBEsol calculation of a relaxed structure of TaS2F, from Alexandria via LeMat-Bulk.

Uncorrected formation energy, eV/atom: -1.05
D(E_F), states/eV/cell: 2.6
M_tot, Bohr magnetons per cell: 0.0

The structure in POSCAR format:
```
TaS2F
1.0
3.340 0.000 0.000
-1.670 2.892 0.000
0.000 0.000 21.540
Ta S F
3 6 3
Cartesian
0.000 0.000 0.000
0.000 1.928 14.360
1.670 0.964 7.180
0.000 0.000 8.685
0.000 0.000 12.855
0.000 1.928 1.505
0.000 1.928 5.675
1.670 0.964 15.864
1.670 0.964 20.035
0.000 0.000 10.770
0.000 1.928 3.590
1.670 0.964 17.950
```



The following is a GGA-PBEsol calculation of a relaxed structure of TbSF, from Alexandria via LeMat-Bulk.

Uncorrected formation energy, eV/atom: -3.09
M_tot, Bohr magnetons per cell: 0.0

The structure in POSCAR format:
```
TbSF
1.0
3.748 0.000 0.000
0.000 3.748 0.000
0.000 0.000 6.768
Tb S F
2 2 2
Cartesian
0.937 0.937 1.537
2.811 2.811 5.231
0.937 0.937 4.353
2.811 2.811 2.415
0.937 2.811 0.000
2.811 0.937 0.000
```



The following is a GGA-PBEsol calculation of a relaxed structure of TcS2F, from Alexandria via LeMat-Bulk.

Uncorrected formation energy, eV/atom: -0.37
D(E_F), states/eV/cell: 8.7
M_tot, Bohr magnetons per cell: 0.0
E above lowest polymorph, meV per atom: 0

The structure in POSCAR format:
```
TcS2F
1.0
5.676 0.000 0.000
0.000 5.676 0.000
0.000 0.000 9.347
Tc S F
4 8 4
Cartesian
0.000 0.000 0.000
0.000 2.838 2.337
2.838 0.000 7.010
2.838 2.838 4.674
1.171 1.419 1.168
1.419 4.009 3.505
1.419 4.504 8.179
1.667 1.419 5.842
4.009 4.257 5.842
4.257 1.171 8.179
4.257 1.667 3.505
4.504 4.257 1.168
0.000 0.000 4.674
0.000 2.838 7.010
2.838 0.000 2.337
2.838 2.838 0.000
```



The following is a GGA-PBEsol calculation of a relaxed structure of TcS2F, from Alexandria via LeMat-Bulk.

Uncorrected formation energy, eV/atom: 0.25
D(E_F), states/eV/cell: 11.2
M_tot, Bohr magnetons per cell: 0.0
E above lowest polymorph, meV per atom: 622

The structure in POSCAR format:
```
TcS2F
1.0
2.680 0.000 0.000
-1.340 2.321 0.000
0.000 0.000 25.614
Tc S F
3 6 3
Cartesian
0.000 0.000 0.000
0.000 1.547 17.076
1.340 0.774 8.538
0.000 0.000 2.316
0.000 0.000 23.298
0.000 1.547 14.760
0.000 1.547 19.392
1.340 0.774 6.222
1.340 0.774 10.854
0.000 0.000 12.807
0.000 1.547 4.269
1.340 0.774 21.345
```